This record from Alexandria via LeMat-Bulk describes a PBEsol-optimized structure of KI2F. The functional is meta-GGA SCAN.

Structure (POSCAR):
```
KI2F
1.0
5.5079 0.0000 0.0000
0.0000 5.5079 0.0000
-2.7540 -2.7540 11.0621
I K F
4 2 2
direct
0.5609 0.8750 0.2500 I
0.6891 0.3750 0.2500 I
0.1250 0.3109 0.7500 I
0.6250 0.4391 0.7500 I
0.2500 0.7500 0.5000 K
0.0000 0.0000 0.0000 K
0.7500 0.2500 0.5000 F
0.5000 0.5000 0.0000 F
```

Computed properties:
uncorrected formation energy = -0.839 eV per atom


This record from Alexandria via LeMat-Bulk describes a PBEsol-optimized structure of LaZn2Au. The functional is meta-GGA SCAN.

Structure (POSCAR):
```
LaZn2Au
1.0
4.4298 0.0000 0.0000
2.2149 3.8363 0.0000
2.2149 1.2788 4.9164
Zn Au La
2 1 1
direct
0.9588 0.9588 0.1236 Zn
0.2592 0.2592 0.2224 Zn
0.5403 0.5403 0.3790 Au
0.7496 0.7496 0.7512 La
```

Computed properties:
energy of formation = -566.7 meV per atom


no.,spin magnetization (μB per formula unit),total energy (eV per atom)
1,0.23,-22.177
2,0.00,-35.390